(1)
# K2BeRe SCAN PBEsol geometry
data_K2BeRe
_symmetry_space_group_name_H-M 'P 1'
_symmetry_Int_Tables_number 1
_symmetry_space_group_name_Hall 'P 1'
_cell_length_a 10.2770
_cell_length_b 10.2770
_cell_length_c 3.2817
_cell_angle_alpha 97.99
_cell_angle_beta 97.99
_cell_angle_gamma 17.86
loop_
_atom_site_label
_atom_site_type_symbol
_atom_site_fract_x
_atom_site_fract_y
_atom_site_fract_z
_atom_site_occupancy
K1 K 0.1418 0.1418 0.1228 1
K2 K 0.8582 0.8582 0.8772 1
Be1 Be 0.5000 0.5000 0.0000 1
Re1 Re 0.0000 0.0000 0.5000 1
# magnetic moment = 0.00 μB per formula unit
# SG = No. 12
# calculated volume = 105.3 Å³/cell
# raw total energy = -22.193 eV per atom
# DFT formation energy = 834 meV per atom

(2)
# KBeRe SCAN PBEsol geometry
data_KBeRe
_symmetry_space_group_name_H-M 'P 1'
_symmetry_Int_Tables_number 1
_symmetry_space_group_name_Hall 'P 1'
_cell_length_a 4.4092
_cell_length_b 4.4092
_cell_length_c 4.4092
_cell_angle_alpha 60.00
_cell_angle_beta 60.00
_cell_angle_gamma 60.00
loop_
_atom_site_label
_atom_site_type_symbol
_atom_site_fract_x
_atom_site_fract_y
_atom_site_fract_z
_atom_site_occupancy
K1 K 0.0000 0.0000 0.0000 1
Be1 Be 0.7500 0.7500 0.7500 1
Re1 Re 0.5000 0.5000 0.5000 1
# magnetic moment = 2.13 μB per formula unit
# SG = No. 216
# calculated volume = 60.6 Å³/cell
# raw total energy = -25.785 eV per atom
# DFT formation energy = 2142 meV per atom